Entry 1:
Below is a PBEsol-optimized structure of LiCa2Sb, with properties calculated at the meta-GGA SCAN level.

space-group type: R-3m
magnetic moment: 0.0 Bohr magnetons per cell
E: -15.191 eV/atom
calculated volume: 142 Å³/cell
density of states at the Fermi level: 0.8 states/eV/f.u.

Cell: 4.6135 4.6135 8.1274 Å, 73.51 73.51 60.00°
Fractional coordinates of all 4 atoms:
Li  0.5000  0.5000  0.5000
Ca  0.2670  0.2670  0.1991
Sb  0.0000  0.0000  0.0000
Ca  0.7330  0.7330  0.8009

Entry 2:
Below is a PBEsol-optimized structure of LiCaSb, with properties calculated at the meta-GGA SCAN level.

space-group type: Pnma
magnetic moment: 0.0 Bohr magnetons per cell
E: -17.463 eV/atom
calculated volume: 286 Å³/cell

Cell: 4.6004 7.5657 8.2185 Å, 90.00 90.00 90.00°
Fractional coordinates of all 12 atoms:
Sb  0.7500  0.2304  0.5992
Sb  0.2500  0.2696  0.0992
Li  0.2500  0.6530  0.0728
Li  0.7500  0.3471  0.9272
Li  0.7500  0.8470  0.5728
Li  0.2500  0.1530  0.4272
Ca  0.7500  0.4914  0.2969
Sb  0.7500  0.7304  0.9008
Sb  0.2500  0.7696  0.4008
Ca  0.2500  0.0086  0.7969
Ca  0.7500  0.9914  0.2031
Ca  0.2500  0.5086  0.7031

Listing theoretical density for the structures above in their given order: 2.450, 3.919 g cm⁻³.